Record 1
The following is a DFT calculation (PBE-GGA) of an optimized crystal structure of BC3.

Summary:
Formation enthalpy at 0 K   852 meV per atom
M_tot   0.000 μB per atom
Distance to the lowest polymorph of the same formula   0.611 eV/atom

a = 3.6454 Å, b = 3.6454 Å, c = 2.6025 Å
α = 100.31°, β = 100.31°, γ = 113.51°
Sites, in units of the cell vectors:
B: 0.0000 0.0000 0.0000
C: 0.1548 0.8452 0.5000
C: 0.2705 0.5139 0.2089
C: 0.4861 0.7295 0.7911

***

Record 2
The following is a DFT calculation (PBE-GGA) of an optimized crystal structure of NpMn2PC.

Summary:
Formation enthalpy at 0 K   -451 meV per atom
M_tot   1.019 μB per atom

a = 5.5481 Å, b = 5.5481 Å, c = 6.8101 Å
α = 90.00°, β = 90.00°, γ = 141.89°
Sites, in units of the cell vectors:
Np: 0.0432 0.9568 0.7500
Np: 0.9568 0.0432 0.2500
Mn: 0.3265 0.6735 0.5578
Mn: 0.3265 0.6735 0.9422
Mn: 0.6735 0.3265 0.0578
Mn: 0.6735 0.3265 0.4422
P: 0.2327 0.7673 0.2500
P: 0.7673 0.2327 0.7500
C: 0.5000 0.5000 0.0000
C: 0.5000 0.5000 0.5000

***

Record 3
The following is a DFT calculation (PBE-GGA) of an optimized crystal structure of BeCu4Hg.

Summary:
Formation enthalpy at 0 K   278 meV per atom
M_tot   0.000 μB per atom

a = 4.8810 Å, b = 4.8810 Å, c = 4.8810 Å
α = 60.00°, β = 60.00°, γ = 60.00°
Sites, in units of the cell vectors:
Be: 0.0000 0.0000 0.0000
Cu: 0.1227 0.6258 0.6258
Cu: 0.6258 0.1227 0.6258
Cu: 0.6258 0.6258 0.1227
Cu: 0.6258 0.6258 0.6258
Hg: 0.2500 0.2500 0.2500

***

Record 4
The following is a DFT calculation (PBE-GGA) of an optimized crystal structure of SiAg2P.

Summary:
Formation energy (no corrections)   29.8 kJ/mol of atoms
M_tot   0.000 μB per atom
Distance to the lowest polymorph of the same formula   0.147 eV/atom

a = 2.6961 Å, b = 5.1445 Å, c = 5.0308 Å
α = 90.00°, β = 92.92°, γ = 90.00°
Sites, in units of the cell vectors:
Si: 0.0000 0.0000 0.0000
Ag: 0.0000 0.5000 0.5000
Ag: 0.5000 0.0000 0.5000
P: 0.0000 0.5000 0.0000

***

Record 5
The following is a DFT calculation (PBE-GGA) of an optimized crystal structure of ThCoSi3.

Summary:
Formation energy (no corrections)   -56.6 kJ/mol of atoms
M_tot   0.000 μB per atom

a = 5.8668 Å, b = 5.3785 Å, c = 5.5750 Å
α = 90.00°, β = 90.00°, γ = 90.00°
Sites, in units of the cell vectors:
Th: 0.0000 0.1429 0.0000
Th: 0.5000 0.8571 0.5000
Co: 0.0000 0.6132 0.2578
Co: 0.5000 0.3868 0.7578
Si: 0.0000 0.9255 0.5216
Si: 0.2151 0.3388 0.4856
Si: 0.2849 0.6612 0.9856
Si: 0.5000 0.0745 0.0216
Si: 0.7151 0.6612 0.9856
Si: 0.7849 0.3388 0.4856

***

Record 6
The following is a DFT calculation (PBE-GGA) of an optimized crystal structure of PmGaCoRh.

Summary:
Formation enthalpy at 0 K   -362 meV per atom
M_tot   0.000 μB per atom

a = 4.5664 Å, b = 4.5664 Å, c = 4.5664 Å
α = 60.00°, β = 60.00°, γ = 60.00°
Sites, in units of the cell vectors:
Pm: 0.0000 0.0000 0.0000
Ga: 0.5000 0.5000 0.5000
Co: 0.7500 0.7500 0.7500
Rh: 0.2500 0.2500 0.2500

***

Record 7
The following is a DFT calculation (PBE-GGA) of an optimized crystal structure of YBiSe3.

Summary:
Formation energy (no corrections)   -18.6 kJ/mol of atoms
M_tot   0.000 μB per atom
Distance to the lowest polymorph of the same formula   0.931 eV/atom

a = 5.4148 Å, b = 5.4148 Å, c = 5.4148 Å
α = 90.00°, β = 90.00°, γ = 90.00°
Sites, in units of the cell vectors:
Y: 0.0000 0.0000 0.0000
Bi: 0.5000 0.5000 0.5000
Se: 0.0000 0.5000 0.5000
Se: 0.5000 0.0000 0.5000
Se: 0.5000 0.5000 0.0000

***

Record 8
The following is a DFT calculation (PBE-GGA) of an optimized crystal structure of Gd2AlOs.

Summary:
Formation enthalpy at 0 K   -217 meV per atom
M_tot   3.480 μB per atom
Distance to the lowest polymorph of the same formula   0.036 eV/atom

a = 4.9829 Å, b = 4.9829 Å, c = 4.9829 Å
α = 60.00°, β = 60.00°, γ = 60.00°
Sites, in units of the cell vectors:
Gd: 0.2500 0.2500 0.2500
Gd: 0.7500 0.7500 0.7500
Al: 0.0000 0.0000 0.0000
Os: 0.5000 0.5000 0.5000

***

Record 9
The following is a DFT calculation (PBE-GGA) of an optimized crystal structure of La2Pm2Sm3.

Summary:
Formation enthalpy at 0 K   114 meV per atom
M_tot   0.000 μB per atom
Distance to the lowest polymorph of the same formula   0.000 eV/atom

a = 8.7890 Å, b = 8.7890 Å, c = 8.9704 Å
α = 115.85°, β = 115.85°, γ = 23.28°
Sites, in units of the cell vectors:
La: 0.0784 0.0784 0.2044
La: 0.9216 0.9216 0.7956
Pm: 0.3599 0.3599 0.0941
Pm: 0.6401 0.6401 0.9059
Sm: 0.0000 0.0000 0.5000
Sm: 0.2211 0.2211 0.6465
Sm: 0.7789 0.7789 0.3535

***

Record 10
The following is a DFT calculation (PBE-GGA) of an optimized crystal structure of SrCaH4.

Summary:
M_tot   0.000 μB per atom
Distance to the lowest polymorph of the same formula   0.021 eV/atom

a = 3.9712 Å, b = 3.9712 Å, c = 5.6449 Å
α = 90.00°, β = 90.00°, γ = 90.00°
Sites, in units of the cell vectors:
Sr: 0.0000 0.0000 0.0000
Ca: 0.5000 0.5000 0.5000
H: 0.0000 0.5000 0.2631
H: 0.0000 0.5000 0.7369
H: 0.5000 0.0000 0.2631
H: 0.5000 0.0000 0.7369

***

Record 11
The following is a DFT calculation (PBE-GGA) of an optimized crystal structure of BaCaTl2Rh.

Summary:
Formation enthalpy at 0 K   -286 meV per atom
M_tot   0.000 μB per atom

a = 5.4336 Å, b = 5.4336 Å, c = 5.2735 Å
α = 90.00°, β = 90.00°, γ = 90.00°
Sites, in units of the cell vectors:
Ba: 0.0000 0.0000 0.0000
Ca: 0.5000 0.5000 0.0000
Tl: 0.0000 0.5000 0.5000
Tl: 0.5000 0.0000 0.5000
Rh: 0.5000 0.5000 0.5000

***

Record 12
The following is a DFT calculation (PBE-GGA) of an optimized crystal structure of TiAsBr.

Summary:
Formation energy (no corrections)   -72.0 kJ/mol of atoms
M_tot   0.000 μB per atom

a = 6.2352 Å, b = 6.2352 Å, c = 6.5301 Å
α = 93.91°, β = 93.91°, γ = 33.61°
Sites, in units of the cell vectors:
Ti: 0.2390 0.2390 0.2104
Ti: 0.7610 0.7610 0.7896
As: 0.3866 0.3866 0.9537
As: 0.6134 0.6134 0.0463
Br: 0.1349 0.1349 0.5709
Br: 0.8651 0.8651 0.4291

***

Summary of Fermi-level density of states in states/eV per cell
0.771; 18.833; 4.665; 1.709; 5.903; 1.310; 0.216; 1.996; 11.947; 0.046; 3.909; 2.944
(order as listed above)
Summary of VASP energy in eV/cell
-30.941; -96.340; -18.746; -15.299; -67.459; -23.682; -21.765; -44.002; -32.714; -20.308; -17.441; -32.912
(order as listed above)